Material: CaLa2Pr5Nd
Method: DFT, GGA-PBE
State: optimized geometry

a b c (Å): 8.871 8.871 16.894
angles (deg): 90.00 90.00 90.00
Space group I4/mcm (No. 140)
Unique sites:
Ca  0.000  0.500  0.250 x4
La  0.120  0.380  0.000 x8
Pr  0.000  0.000  0.000 x4
Pr  0.221  0.279  0.360 x16
Nd  0.000  0.000  0.250 x4

## Properties
crystal system = tetragonal
DFT formation energy = 0.241 eV/atom
spin magnetization = 0.000 μB per atom


Material: ThSiPd6
Method: DFT, GGA-PBE
State: optimized geometry

a b c (Å): 5.5914 5.5914 17.5892
angles (deg): 90.00 90.00 120.00
Space group R-3m (No. 166, hexagonal axes)
Unique sites:
Th  0.0000  0.0000  0.0000 x3
Si  0.0000  0.0000  0.5000 x3
Pd  0.0122  0.5061  0.9229 x18

## Properties
crystal system = trigonal
formation energy (no corrections) = -0.47 eV per atom
spin magnetization = 0.000 μB per atom


Material: SiPbO3
Method: DFT, GGA-PBE
State: optimized geometry

a b c (Å): 4.719 5.645 5.707
angles (deg): 118.92 99.63 90.21
Space group P-1 (No. 2)
Unique sites:
Si  0.000  0.000  0.000 x1
Si  0.500  0.000  0.000 x1
Pb  0.222  0.673  0.341 x2
O  0.211  0.090  0.813 x2
O  0.222  0.723  0.909 x2
O  0.313  0.181  0.276 x2

## Properties
crystal system = triclinic
formation energy (no corrections) = -1.90 eV per atom
spin magnetization = 0.000 μB per atom


Material: CeScTc
Method: DFT, GGA-PBE
State: optimized geometry

a b c (Å): 10.472 4.719 6.740
angles (deg): 90.00 127.53 90.00
Space group C2/m (No. 12)
Unique sites:
Ce  0.082  0.000  0.308 x4
Sc  0.185  0.500  0.073 x4
Tc  0.152  0.500  0.626 x4

## Properties
crystal system = monoclinic
DFT formation energy = -0.101 eV/atom
ΔE to the lowest computed polymorph = 0.58 kcal/mol of atoms
spin magnetization = 0.000 μB per atom


Material: CuSi2Pt
Method: DFT, GGA-PBE
State: optimized geometry

a b c (Å): 4.027 4.000 4.485
angles (deg): 90.00 107.18 90.00
Space group P2/m (No. 10)
Unique sites:
Cu  0.000  0.000  0.000 x1
Si  0.331  0.500  0.176 x2
Pt  0.500  0.000  0.500 x1

## Properties
crystal system = monoclinic
formation energy (no corrections) = -0.18 eV per atom
ΔE to the lowest computed polymorph = 1.12 kcal/mol of atoms
spin magnetization = 0.000 μB per atom


Material: HgSe
Method: DFT, GGA-PBE
State: optimized geometry

a b c (Å): 4.4607 4.4607 25.6107
angles (deg): 90.00 90.00 120.00
Space group R-3m (No. 166, hexagonal axes)
Unique sites:
Hg  0.0000  0.0000  0.0876 x6
Se  0.0000  0.0000  0.4031 x6

## Properties
crystal system = trigonal
formation energy (no corrections) = -0.05 eV per atom
spin magnetization = 0.000 μB per atom


Material: KBaZn3
Method: DFT, GGA-PBE
State: optimized geometry

a b c (Å): 6.265 6.265 6.265
angles (deg): 90.00 90.00 90.00
Space group Pm-3m (No. 221)
Unique sites:
K  0.000  0.000  0.000 x1
Ba  0.500  0.500  0.500 x1
Zn  0.000  0.500  0.500 x3

## Properties
crystal system = cubic
DFT formation energy = 0.467 eV/atom
ΔE to the lowest computed polymorph = 0.23 kcal/mol of atoms
spin magnetization = 0.000 μB per atom


Material: AlCdIr2
Method: DFT, GGA-PBE
State: optimized geometry

a b c (Å): 3.042 3.042 6.672
angles (deg): 90.00 90.00 90.00
Space group P4/mmm (No. 123)
Unique sites:
Al  0.000  0.000  0.000 x1
Cd  0.000  0.000  0.500 x1
Ir  0.500  0.500  0.217 x2

## Properties
crystal system = tetragonal
DFT formation energy = -0.372 eV/atom
spin magnetization = 0.000 μB per atom


Material: LuPaHgOs
Method: DFT, GGA-PBE
State: optimized geometry

a b c (Å): 7.072 7.072 7.072
angles (deg): 90.00 90.00 90.00
Space group F-43m (No. 216)
Unique sites:
Lu  0.000  0.000  0.000 x4
Pa  0.000  0.000  0.500 x4
Hg  0.250  0.250  0.750 x4
Os  0.250  0.250  0.250 x4

## Properties
crystal system = cubic
DFT formation energy = -0.095 eV/atom
spin magnetization = 0.002 μB per atom


Material: In5Ru
Method: DFT, GGA-PBE
State: optimized geometry

a b c (Å): 10.036 3.191 9.438
angles (deg): 90.00 102.46 90.00
Space group Cm (No. 8)
Unique sites:
In  0.000  0.000  0.000 x2
In  0.088  0.000  0.416 x2
In  0.204  0.500  0.819 x2
In  0.303  0.000  0.180 x2
In  0.411  0.000  0.647 x2
Ru  0.312  0.500  0.416 x2

## Properties
crystal system = monoclinic
DFT formation energy = 0.081 eV/atom
ΔE to the lowest computed polymorph = 0.00 kcal/mol of atoms
spin magnetization = 0.000 μB per atom


What did the eighth record say?
Material: AlCdIr2
Method: DFT, GGA-PBE
State: optimized geometry

a b c (Å): 3.042 3.042 6.672
angles (deg): 90.00 90.00 90.00
Space group P4/mmm (No. 123)
Unique sites:
Al  0.000  0.000  0.000 x1
Cd  0.000  0.000  0.500 x1
Ir  0.500  0.500  0.217 x2

## Properties
crystal system = tetragonal
DFT formation energy = -0.372 eV/atom
spin magnetization = 0.000 μB per atom


> What is the spin magnetization in the fourth record?

0.000 μB per atom


> Look up the spin magnetization of the tenth one.

0.000 μB per atom